This record from the Alexandria database describes crystalline AcErSbPt at its relaxed geometry. The functional is PBE.

a b c (Å): 7.5927 7.5927 7.5927
angles (deg): 90.00 90.00 90.00
Last column: nearest neighbours and their distance in Å.
Fractional coordinates of all 16 atoms:
Ac  0.0000  0.0000  0.0000  4 Sb 3.29, 4 Pt 3.29
Ac  0.0000  0.5000  0.5000  4 Sb 3.29, 4 Pt 3.29
Ac  0.5000  0.0000  0.5000  4 Sb 3.29, 4 Pt 3.29
Ac  0.5000  0.5000  0.0000  4 Sb 3.29, 4 Pt 3.29
Er  0.0000  0.0000  0.5000  4 Sb 3.29, 4 Pt 3.29
Er  0.0000  0.5000  0.0000  4 Sb 3.29, 4 Pt 3.29
Er  0.5000  0.0000  0.0000  4 Sb 3.29, 4 Pt 3.29
Er  0.5000  0.5000  0.5000  4 Pt 3.29, 4 Sb 3.29
Sb  0.2500  0.2500  0.2500  4 Ac 3.29, 4 Er 3.29
Sb  0.2500  0.7500  0.7500  4 Ac 3.29, 4 Er 3.29
Sb  0.7500  0.2500  0.7500  4 Ac 3.29, 4 Er 3.29
Sb  0.7500  0.7500  0.2500  4 Ac 3.29, 4 Er 3.29
Pt  0.2500  0.2500  0.7500  4 Ac 3.29, 4 Er 3.29
Pt  0.2500  0.7500  0.2500  4 Ac 3.29, 4 Er 3.29
Pt  0.7500  0.2500  0.2500  4 Ac 3.29, 4 Er 3.29
Pt  0.7500  0.7500  0.7500  4 Er 3.29, 4 Ac 3.29

Magnetic moment (μB per atom): 0.0003
Theoretical density (g cm⁻³): 10.79
Calculated total energy (eV per atom): -5.5087
Uncorrected formation energy (eV/atom): -0.800
Space-group type: F-43m (216)